[1]
BeTlOs2: optimized geometry, PBE.

Cell: 2.942 2.942 6.908 Å, 90.00 90.00 90.00°
Sites, in units of the cell vectors:
Be (0.000, 0.000, 0.000)
Tl (0.000, 0.000, 0.500)
Os (0.500, 0.500, 0.181)
Os (0.500, 0.500, 0.819)

Calculated values
The calculation puts the density of states at the Fermi level at 3.94 states/eV per cell. Its crystal system is tetragonal. Its formation energy is 0.59 eV/atom. The value obtained for the spin magnetization is 0.0 μB per formula unit. The value obtained for the distance to the lowest polymorph of the same formula is 112 meV per atom.


[2]
BeTlOs2: optimized geometry, PBE.

Cell: 4.783 4.783 2.990 Å, 90.00 90.00 113.92°
Sites, in units of the cell vectors:
Be (0.000, 0.000, 0.000)
Tl (0.500, 0.500, 0.000)
Os (0.000, 0.500, 0.500)
Os (0.500, 0.000, 0.500)

Calculated values
The calculation puts the density of states at the Fermi level at 3.30 states/eV per cell. Its crystal system is orthorhombic. Its formation energy is 1.04 eV/atom. The value obtained for the spin magnetization is 0.0 μB per formula unit. The value obtained for the distance to the lowest polymorph of the same formula is 568 meV per atom.


[3]
BeTlOs2: optimized geometry, PBE.

Cell: 3.009 3.009 6.643 Å, 90.00 90.00 90.00°
Sites, in units of the cell vectors:
Be (0.000, 0.000, 0.000)
Tl (0.500, 0.500, 0.693)
Os (0.000, 0.000, 0.391)
Os (0.500, 0.500, 0.133)

Calculated values
The calculation puts the density of states at the Fermi level at 3.43 states/eV per cell. Its crystal system is tetragonal. Its formation energy is 0.48 eV/atom. The value obtained for the spin magnetization is 0.0 μB per formula unit. The value obtained for the distance to the lowest polymorph of the same formula is 0 meV per atom.


[4]
Be2TlOs: optimized geometry, PBE.

Cell: 8.583 8.583 8.583 Å, 152.68 152.68 39.02°
Sites, in units of the cell vectors:
Be (0.375, 0.156, 0.281)
Be (0.844, 0.125, 0.219)
Be (0.875, 0.094, 0.719)
Be (0.906, 0.625, 0.781)
Tl (0.250, 0.750, 0.500)
Tl (0.500, 0.500, 0.000)
Os (0.000, 0.000, 0.000)
Os (0.750, 0.250, 0.500)

Calculated values
The calculation puts the density of states at the Fermi level at 4.02 states/eV per cell. Its crystal system is tetragonal. Its formation energy is 0.68 eV/atom. The value obtained for the spin magnetization is 0.0 μB per formula unit. The value obtained for the distance to the lowest polymorph of the same formula is 492 meV per atom.


What did the fourth record say?
Be2TlOs: optimized geometry, PBE.

Cell: 8.583 8.583 8.583 Å, 152.68 152.68 39.02°
Sites, in units of the cell vectors:
Be (0.375, 0.156, 0.281)
Be (0.844, 0.125, 0.219)
Be (0.875, 0.094, 0.719)
Be (0.906, 0.625, 0.781)
Tl (0.250, 0.750, 0.500)
Tl (0.500, 0.500, 0.000)
Os (0.000, 0.000, 0.000)
Os (0.750, 0.250, 0.500)

Calculated values
The calculation puts the density of states at the Fermi level at 4.02 states/eV per cell. Its crystal system is tetragonal. Its formation energy is 0.68 eV/atom. The value obtained for the spin magnetization is 0.0 μB per formula unit. The value obtained for the distance to the lowest polymorph of the same formula is 492 meV per atom.


What did the second record say?
BeTlOs2: optimized geometry, PBE.

Cell: 4.783 4.783 2.990 Å, 90.00 90.00 113.92°
Sites, in units of the cell vectors:
Be (0.000, 0.000, 0.000)
Tl (0.500, 0.500, 0.000)
Os (0.000, 0.500, 0.500)
Os (0.500, 0.000, 0.500)

Calculated values
The calculation puts the density of states at the Fermi level at 3.30 states/eV per cell. Its crystal system is orthorhombic. Its formation energy is 1.04 eV/atom. The value obtained for the spin magnetization is 0.0 μB per formula unit. The value obtained for the distance to the lowest polymorph of the same formula is 568 meV per atom.